The following is a PBE calculation of a relaxed structure of Rb3Sm2TmS6, from Alexandria.

Summary:
theoretical density = 4.485 Mg/m³
magnetization = 0.000 μB per formula unit
uncorrected energy = -5.3041 eV/atom
SG = C2/m (12)

Unit cell a=7.1414 b=7.1414 c=8.0600 alpha=98.50 beta=98.50 gamma=120.00
Closest atoms and distances in Å follow each position.
Sites, in units of the cell vectors:
Rb1 0.0000 0.0000 0.0000  6 S 3.33-3.40
Rb2 0.3323 0.6677 0.0000  6 S 3.33-3.39
Rb3 0.6677 0.3323 0.0000  6 S 3.33-3.39
Sm1 0.1666 0.8334 0.5000  6 S 2.83
Sm2 0.8334 0.1666 0.5000  6 S 2.83
Tm1 0.5000 0.5000 0.5000  6 S 2.76
S1 0.1107 0.4356 0.3067  1 Tm 2.76, 2 Sm 2.83
S2 0.2397 0.2397 0.6936  1 Tm 2.76, 2 Sm 2.83
S3 0.4356 0.1107 0.3067  1 Tm 2.76, 2 Sm 2.83
S4 0.5644 0.8893 0.6933  1 Tm 2.76, 2 Sm 2.83
S5 0.7603 0.7603 0.3064  1 Tm 2.76, 2 Sm 2.83
S6 0.8893 0.5644 0.6933  1 Tm 2.76, 2 Sm 2.83

The following is a PBE calculation of a relaxed structure of Rb2Sm2US6, from Alexandria.

Summary:
theoretical density = 4.364 Mg/m³
magnetization = 2.000 μB per formula unit
uncorrected energy = -6.0331 eV/atom
SG = C2/m (12)

Unit cell a=7.0963 b=7.0963 c=8.2177 alpha=98.44 beta=98.44 gamma=119.83
Closest atoms and distances in Å follow each position.
Sites, in units of the cell vectors:
Rb1 0.1692 0.8308 0.0000  6 S 3.39-3.43
Rb2 0.8308 0.1692 0.0000  6 S 3.39-3.43
Sm1 0.3337 0.6663 0.5000  6 S 2.81-2.83
Sm2 0.6663 0.3337 0.5000  6 S 2.81-2.83
U1 0.0000 0.0000 0.5000  6 S 2.71-2.73
S1 0.0613 0.3860 0.6877  1 U 2.73, 2 Sm 2.81-2.83
S2 0.2562 0.2562 0.3129  1 U 2.71, 2 Sm 2.83
S3 0.3860 0.0613 0.6877  1 U 2.73, 2 Sm 2.81-2.83
S4 0.6140 0.9387 0.3123  1 U 2.73, 2 Sm 2.81-2.83
S5 0.7438 0.7438 0.6871  1 U 2.71, 2 Sm 2.83
S6 0.9387 0.6140 0.3123  1 U 2.73, 2 Sm 2.81-2.83

The following is a PBE calculation of a relaxed structure of Rb3SmU3S8, from Alexandria.

Summary:
theoretical density = 5.107 Mg/m³
magnetization = 8.001 μB per formula unit
uncorrected energy = -6.4750 eV/atom
SG = R-3m (166)

Unit cell a=9.1235 b=9.1235 c=9.1235 alpha=52.92 beta=52.92 gamma=52.92
Closest atoms and distances in Å follow each position.
Sites, in units of the cell vectors:
Rb1 0.0000 0.5000 0.5000  6 S 3.37-3.39
Rb2 0.5000 0.0000 0.5000  6 S 3.37-3.39
Rb3 0.5000 0.5000 0.0000  6 S 3.37-3.39
Sm1 0.5000 0.5000 0.5000  6 S 2.82
U1 0.0000 0.0000 0.5000  6 S 2.76-2.78
U2 0.0000 0.5000 0.0000  6 S 2.76-2.78
U3 0.5000 0.0000 0.0000  6 S 2.76-2.78
S1 0.2231 0.7332 0.7332  2 U 2.76, 1 Sm 2.82
S2 0.2303 0.2303 0.2303  3 U 2.78
S3 0.2668 0.2668 0.7769  2 U 2.76, 1 Sm 2.82
S4 0.2668 0.7769 0.2668  2 U 2.76, 1 Sm 2.82
S5 0.7332 0.2231 0.7332  2 U 2.76, 1 Sm 2.82
S6 0.7332 0.7332 0.2231  2 U 2.76, 1 Sm 2.82
S7 0.7697 0.7697 0.7697  3 U 2.78
S8 0.7769 0.2668 0.2668  2 U 2.76, 1 Sm 2.82